Computed, not measured: a crystal of CoPCl2 relaxed with PBEsol at the SCAN level of DFT.

Values from the calculation:
E_form (uncorrected) (kJ/mol of formula units): 337
Volume (Å³ per atom): 14.98
Symmetry: Fm-3m (225)
E above lowest polymorph (meV/atom): 1590
Magnetic moment (μB per cell): 1.4

a = 4.392 Å, b = 4.392 Å, c = 4.392 Å
α = 60.00°, β = 60.00°, γ = 60.00°
Last column: magnetic moment on the atom in μB.
Atoms (fractional coordinates):
Cl 0.250 0.250 0.250  0.02
Cl 0.750 0.750 0.750  0.02
Co 0.500 0.500 0.500  2.07
P 0.000 0.000 0.000  -0.35



Computed, not measured: a crystal of CoPCl2 relaxed with PBEsol at the SCAN level of DFT.

Values from the calculation:
E_form (uncorrected) (kJ/mol of formula units): -28
Volume (Å³ per atom): 19.90
Symmetry: Cmmm (65)
E above lowest polymorph (meV/atom): 644
Magnetic moment (μB per cell): 0.8

a = 3.053 Å, b = 6.268 Å, c = 6.268 Å
α = 138.40°, β = 90.00°, γ = 90.00°
Last column: magnetic moment on the atom in μB.
Atoms (fractional coordinates):
Cl 0.000 0.637 0.363  0.03
Cl 0.000 0.363 0.637  0.03
Co 0.500 0.500 0.500  0.04
P 0.500 0.000 0.000  0.33



Computed, not measured: a crystal of Co2PCl relaxed with PBEsol at the SCAN level of DFT.

Values from the calculation:
E_form (uncorrected) (kJ/mol of formula units): 388
Volume (Å³ per atom): 12.77
Symmetry: F-43m (216)
Magnetic moment (μB per cell): 3.9

a = 4.165 Å, b = 4.165 Å, c = 4.165 Å
α = 60.00°, β = 60.00°, γ = 60.00°
Last column: magnetic moment on the atom in μB.
Atoms (fractional coordinates):
Cl 0.500 0.500 0.500  0.04
Co 0.000 0.000 0.000  1.71
Co 0.750 0.750 0.750  2.10
P 0.250 0.250 0.250  0.03



Computed, not measured: a crystal of CoP2Cl relaxed with PBEsol at the SCAN level of DFT.

Values from the calculation:
E_form (uncorrected) (kJ/mol of formula units): 105
Volume (Å³ per atom): 14.77
Symmetry: P4mm (99)
E above lowest polymorph (meV/atom): 154
Magnetic moment (μB per cell): 0.0

a = 2.990 Å, b = 2.990 Å, c = 6.610 Å
α = 90.00°, β = 90.00°, γ = 90.00°
Atoms (fractional coordinates):
Cl 0.000 0.000 0.559
Co 0.500 0.500 0.813
P 0.000 0.000 0.971
P 0.500 0.500 0.157



Computed, not measured: a crystal of CoPCl2 relaxed with PBEsol at the SCAN level of DFT.

Values from the calculation:
E_form (uncorrected) (kJ/mol of formula units): 307
Volume (Å³ per atom): 14.64
Symmetry: F-43m (216)
E above lowest polymorph (meV/atom): 1513
Magnetic moment (μB per cell): 0.3

a = 4.359 Å, b = 4.359 Å, c = 4.359 Å
α = 60.00°, β = 60.00°, γ = 60.00°
Last column: magnetic moment on the atom in μB.
Atoms (fractional coordinates):
Cl 0.000 0.000 0.000  -0.27
Cl 0.750 0.750 0.750  -0.10
Co 0.500 0.500 0.500  1.82
P 0.250 0.250 0.250  -0.48



Computed, not measured: a crystal of CoPCl2 relaxed with PBEsol at the SCAN level of DFT.

Values from the calculation:
E_form (uncorrected) (kJ/mol of formula units): -277
Volume (Å³ per atom): 18.20
Symmetry: Cm (8)
E above lowest polymorph (meV/atom): 0
Magnetic moment (μB per cell): 0.0

a = 3.311 Å, b = 3.311 Å, c = 7.672 Å
α = 91.07°, β = 90.00°, γ = 120.00°
Atoms (fractional coordinates):
P 0.124 0.247 0.330
Co 0.461 0.922 0.460
Cl 0.116 0.232 0.067
Cl 0.800 0.599 0.644